[1]
## Cu2BiS2Cl (PBE)

Data for a relaxed structure of Cu2BiS2Cl.

As for the crystal system: monoclinic.

It has space group P2_1/m (No. 11), with a = 7.429 Å, b = 4.999 Å, c = 8.039 Å, α = 90.00°, β = 109.37° and γ = 90.00°. The distinct sites, in fractional coordinates, are Cu at (0.161, 0.001, 0.215), Bi at (0.296, 0.250, 0.558), S at (0.095, 0.750, 0.423), S at (0.438, 0.250, 0.292) and Cl at (0.148, 0.750, 0.948).

[2]
## CuBiS2Cl (PBE)

Data for a relaxed structure of CuBiS2Cl.

As for the crystal system: monoclinic. The calculation puts the energy relative to the lowest polymorph listed for this composition at 0.0000 eV per atom.

It has space group P2_1/m (No. 11), with a = 7.536 Å, b = 4.578 Å, c = 8.539 Å, α = 90.00°, β = 108.83° and γ = 90.00°. The distinct sites, in fractional coordinates, are Cu at (0.162, 0.250, 0.083), Bi at (0.233, 0.750, 0.427), S at (0.139, 0.750, 0.084), S at (0.385, 0.250, 0.333) and Cl at (0.164, 0.250, 0.648).

[3]
## CuBiS2Cl (PBE)

Data for a relaxed structure of CuBiS2Cl.

As for the crystal system: tetragonal. The calculation puts the energy relative to the lowest polymorph listed for this composition at 0.8676 eV per atom.

It has space group P4/mmm (No. 123), with a = 5.226 Å, b = 5.226 Å, c = 5.346 Å, α = 90.00°, β = 90.00° and γ = 90.00°. The distinct sites, in fractional coordinates, are Cu at (0.000, 0.000, 0.000), Bi at (0.500, 0.500, 0.500), S at (0.000, 0.500, 0.500) and Cl at (0.500, 0.500, 0.000).

[4]
## CuBiS2Cl (PBE)

Data for a relaxed structure of CuBiS2Cl.

As for the crystal system: tetragonal. The calculation puts the energy relative to the lowest polymorph listed for this composition at 0.3752 eV per atom.

It has space group P4/mmm (No. 123), with a = 4.713 Å, b = 4.713 Å, c = 4.493 Å, α = 90.00°, β = 90.00° and γ = 90.00°. The distinct sites, in fractional coordinates, are Cu at (0.000, 0.000, 0.000), Bi at (0.500, 0.500, 0.500), S at (0.000, 0.500, 0.000) and Cl at (0.000, 0.000, 0.500).

[5]
## Cu2BiSeCl (PBE)

Data for a relaxed structure of Cu2BiSeCl.

As for the crystal system: tetragonal.

It has space group P4/mmm (No. 123), with a = 4.525 Å, b = 4.525 Å, c = 6.339 Å, α = 90.00°, β = 90.00° and γ = 90.00°. The distinct sites, in fractional coordinates, are Cu at (0.000, 0.500, 0.000), Bi at (0.000, 0.000, 0.500), Se at (0.000, 0.000, 0.000) and Cl at (0.500, 0.500, 0.500).

[6]
## TaCu2BiCl (PBE)

Data for a relaxed structure of TaCu2BiCl.

As for the crystal system: tetragonal.

It has space group P4/mmm (No. 123), with a = 4.903 Å, b = 4.903 Å, c = 5.577 Å, α = 90.00°, β = 90.00° and γ = 90.00°. The distinct sites, in fractional coordinates, are Ta at (0.000, 0.000, 0.000), Cu at (0.000, 0.500, 0.000), Bi at (0.000, 0.000, 0.500) and Cl at (0.500, 0.500, 0.500).

[7]
## TlCu2BiCl6 (PBE)

Data for a relaxed structure of TlCu2BiCl6.

As for the crystal system: triclinic.

It has space group P-1 (No. 2), with a = 7.004 Å, b = 7.004 Å, c = 8.276 Å, α = 65.10°, β = 64.98° and γ = 60.12°. The distinct sites, in fractional coordinates, are Tl at (0.000, 0.000, 0.000), Cu at (0.236, 0.236, 0.290), Bi at (0.500, 0.500, 0.500), Cl at (0.091, 0.457, 0.722), Cl at (0.271, 0.908, 0.277) and Cl at (0.457, 0.730, 0.722).

[8]
## Tl2CuBiCl6 (PBE)

Data for a relaxed structure of Tl2CuBiCl6.

As for the crystal system: orthorhombic.

It has space group Fmm2 (No. 42), with a = 10.244 Å, b = 10.276 Å, c = 11.380 Å, α = 90.00°, β = 90.00° and γ = 90.00°. The distinct sites, in fractional coordinates, are Tl at (0.250, 0.250, 0.000), Cu at (0.000, 0.000, 0.237), Bi at (0.000, 0.000, 0.698), Cl at (0.000, 0.000, 0.444), Cl at (0.000, 0.000, 0.927), Cl at (0.000, 0.234, 0.183) and Cl at (0.233, 0.000, 0.183).

| no. | DFT total energy (eV per atom) | formation energy (no corrections) (eV/atom) |
| --- | --- | --- |
| 1 | -3.970 | -0.27 |
| 2 | -3.993 | -0.38 |
| 3 | -3.125 | 0.49 |
| 4 | -3.618 | 0.00 |
| 5 | -3.266 | 0.22 |
| 6 | -4.098 | 1.06 |
| 7 | -3.329 | -0.78 |
| 8 | -3.251 | -0.87 |